[1]
Here is a geometry-optimized EuDyGe structure from Alexandria via LeMat-Bulk. Energies are from PBE.

a b c (Å): 4.8406 4.8406 4.3413
angles (deg): 90.00 90.00 120.00
Space group P3m1 (No. 156)
One atom of each set of equivalent atoms:
Eu: 0.0000 0.0000 0.0000 [1 per cell]
Dy: 0.3333 0.6667 0.5141 [1 per cell]
Ge: 0.6667 0.3333 0.4120 [1 per cell]

Values from the calculation:
total energy	-6.886	eV per atom
total magnetic moment	7.389	μB/f.u.
energy of formation	-0.39	eV/atom

[2]
Here is a geometry-optimized Al2RhBr structure from Alexandria via LeMat-Bulk. Energies are from PBE.

a b c (Å): 3.096 3.121 7.403
angles (deg): 90.00 90.00 90.00
Space group Pmmm (No. 47)
One atom of each set of equivalent atoms:
Al: 0.000 0.000 0.194 [2 per cell]
Rh: 0.500 0.500 0.000 [1 per cell]
Br: 0.500 0.000 0.500 [1 per cell]

Values from the calculation:
total energy	-4.635	eV per atom
total magnetic moment	0.000	μB/f.u.

[3]
Here is a geometry-optimized HfTeI3 structure from Alexandria via LeMat-Bulk. Energies are from PBE.

a b c (Å): 7.810 16.408 14.300
angles (deg): 90.00 96.10 90.00
Space group C2/c (No. 15)
One atom of each set of equivalent atoms:
Hf: 0.080 0.067 0.141 [8 per cell]
Te: 0.154 0.189 0.304 [8 per cell]
I: 0.138 0.088 0.539 [8 per cell]
I: 0.145 0.361 0.928 [8 per cell]
I: 0.235 0.031 0.796 [8 per cell]

Values from the calculation:
total energy	-4.293	eV per atom
total magnetic moment	0.000	μB/f.u.

[4]
Here is a geometry-optimized Rb4Pm3MnSe8 structure from Alexandria via LeMat-Bulk. Energies are from PBE.

a b c (Å): 8.5197 8.5197 23.9937
angles (deg): 90.00 90.00 120.00
Space group R-3m (No. 166, hexagonal axes)
One atom of each set of equivalent atoms:
Rb: 0.0000 0.0000 0.0000 [3 per cell]
Rb: 0.0000 0.5000 0.0000 [9 per cell]
Pm: 0.0000 0.5000 0.5000 [9 per cell]
Mn: 0.0000 0.0000 0.5000 [3 per cell]
Se: 0.0000 0.0000 0.2344 [6 per cell]
Se: 0.0222 0.5111 0.2302 [18 per cell]

Values from the calculation:
total energy	-4.877	eV per atom
total magnetic moment	3.994	μB/f.u.